Compound: ScCoPO
Source: OQMD via LeMat-Bulk
Functional: PBE+U
Structure: optimized geometry

Results
* volume: 62.9 Å³/f.u.
* DFT total energy: -54.28 eV/cell
* symmetry: Pmc2_1

```
ScCoPO
1.0
4.0919 0.0000 0.0000
0.0000 5.6244 0.0000
0.0000 0.0000 5.4695
Sc Co P O
2 2 2 2
Cartesian
0.0000 1.2570 0.0000
0.0000 4.3674 2.7348
2.0459 2.1712 3.5265
2.0459 3.4532 0.7917
0.0000 1.3672 2.7001
0.0000 4.2572 5.4348
2.0459 1.6413 5.4587
2.0459 3.9831 2.7239
```